1.
Below is crystalline CaPm2SiO6 at its relaxed geometry, with properties calculated at the GGA-PBE level.

Cell and atoms, written as POSCAR:
```
CaPm2SiO6
1.0
5.3545 0.0000 0.0000
0.0000 5.3545 0.0000
0.0000 0.0000 4.8564
Ca Pm Si O
1 2 1 6
Direct
0.0000 0.0000 0.0000
0.0000 0.5000 0.4339
0.5000 0.0000 0.4339
0.5000 0.5000 0.0402
0.0000 0.0000 0.5462
0.2787 0.2787 0.1503
0.2787 0.7213 0.1503
0.5000 0.5000 0.6942
0.7213 0.2787 0.1503
0.7213 0.7213 0.1503
```

Computed properties:
Electronic total energy (eV per atom): -7.6806
Raw formation energy (eV/atom): -3.013
Density of states at the Fermi level (states/eV per cell): 0.00

---

2.
Below is crystalline Tm3Ge2H at its relaxed geometry, with properties calculated at the GGA-PBE level.

Cell and atoms, written as POSCAR:
```
Tm3Ge2H
1.0
6.2662 -2.8307 0.0000
6.2662 2.8307 0.0000
-2.5389 0.0000 7.5764
Tm Ge H
6 4 2
Direct
0.0349 0.9651 0.7500
0.3304 0.3348 0.4156
0.3348 0.3304 0.9156
0.6652 0.6696 0.0844
0.6696 0.6652 0.5844
0.9651 0.0349 0.2500
0.1611 0.1671 0.0815
0.1671 0.1611 0.5815
0.8329 0.8389 0.4185
0.8389 0.8329 0.9185
0.4527 0.5473 0.7500
0.5473 0.4527 0.2500
```

Computed properties:
Electronic total energy (eV per atom): -4.9001
Density of states at the Fermi level (states/eV per cell): 4.29

---

3.
Below is crystalline AlFeOs2 at its relaxed geometry, with properties calculated at the GGA-PBE level.

Cell and atoms, written as POSCAR:
```
AlFeOs2
1.0
4.2272 0.0000 0.0000
0.0000 4.2272 0.0000
0.0000 0.0000 2.9908
Al Fe Os
1 1 2
Direct
0.0000 0.0000 0.0000
0.5000 0.5000 0.0000
0.0000 0.5000 0.5000
0.5000 0.0000 0.5000
```

Computed properties:
Electronic total energy (eV per atom): -8.7948
Density of states at the Fermi level (states/eV per cell): 2.65
Energy relative to the elements (eV per atom): -0.13

---

4.
Below is crystalline DyLuBeAg at its relaxed geometry, with properties calculated at the GGA-PBE level.

Cell and atoms, written as POSCAR:
```
DyLuBeAg
1.0
0.0000 3.5061 3.5061
3.5061 0.0000 3.5061
3.5061 3.5061 0.0000
Dy Lu Be Ag
1 1 1 1
Direct
0.0000 0.0000 0.0000
0.5000 0.5000 0.5000
0.7500 0.7500 0.7500
0.2500 0.2500 0.2500
```

Computed properties:
Electronic total energy (eV per atom): -4.0019
Density of states at the Fermi level (states/eV per cell): 4.46
Energy relative to the elements (eV per atom): -0.08